Crystalline DyFe6Sn6 at its relaxed geometry, computed with PBE.

Lattice parameters (Å, degrees): 10.3614 10.3614 5.4259 90.00 90.00 128.76
Closest atoms and distances in Å follow each position.
Fractional positions:
Fe: 0.6281 0.8779 0.7500  4 Fe 2.70, 6 Sn 2.70-2.83
Fe: 0.0000 0.5000 0.0000  4 Fe 2.70-2.71, 6 Sn 2.72-2.82
Sn: 0.2952 0.7048 0.7500  6 Fe 2.71-2.75
Sn: 0.5402 0.4598 0.2500  6 Fe 2.75-2.76, 1 Sn 3.08
Fe: 0.1221 0.3719 0.7500  4 Fe 2.70, 6 Sn 2.70-2.83
Sn: 0.4611 0.2124 0.7500  6 Fe 2.81-2.83, 1 Sn 2.93, 1 Dy 3.02
Sn: 0.9579 0.0421 0.7500  6 Fe 2.70
Sn: 0.7048 0.2952 0.2500  6 Fe 2.71-2.75
Sn: 0.0421 0.9579 0.2500  6 Fe 2.70
Dy: 0.1278 0.8722 0.7500  8 Sn 3.02-3.17
Sn: 0.5389 0.7876 0.2500  6 Fe 2.81-2.83, 1 Sn 2.93, 1 Dy 3.02
Fe: 0.2460 0.2460 0.0000  4 Fe 2.70-2.71, 6 Sn 2.70-2.81
Fe: 0.8779 0.6281 0.2500  4 Fe 2.70, 6 Sn 2.70-2.83
Fe: 0.7540 0.7540 0.0000  4 Fe 2.70-2.71, 6 Sn 2.70-2.81
Fe: 0.7540 0.7540 0.5000  4 Fe 2.70-2.71, 6 Sn 2.70-2.81
Fe: 0.5000 0.0000 0.0000  4 Fe 2.70-2.71, 6 Sn 2.72-2.82
Fe: 0.2460 0.2460 0.5000  4 Fe 2.70-2.71, 6 Sn 2.70-2.81
Sn: 0.7892 0.2108 0.7500  6 Fe 2.72-2.73
Sn: 0.2124 0.4611 0.2500  6 Fe 2.81-2.83, 1 Sn 2.93, 1 Dy 3.02
Fe: 0.0000 0.5000 0.5000  4 Fe 2.70-2.71, 6 Sn 2.72-2.82
Dy: 0.8722 0.1278 0.2500  8 Sn 3.02-3.17
Sn: 0.2108 0.7892 0.2500  6 Fe 2.72-2.73
Fe: 0.3719 0.1221 0.2500  4 Fe 2.70, 6 Sn 2.70-2.83
Fe: 0.5000 0.0000 0.5000  4 Fe 2.70-2.71, 6 Sn 2.72-2.82
Sn: 0.4598 0.5402 0.7500  6 Fe 2.75-2.76, 1 Sn 3.08
Sn: 0.7876 0.5389 0.7500  6 Fe 2.81-2.83, 1 Sn 2.93, 1 Dy 3.02

## Properties
SG: Cmcm (63)
Total energy in eV for the cell shown: -161.74
Magnetic moment in μB per formula unit: 13.0
Energy relative to the elements in meV/atom: -114

=====

Crystalline Y2Be4SiPt3 at its relaxed geometry, computed with PBE.

Lattice parameters (Å, degrees): 3.8698 3.8698 10.1234 90.00 90.00 90.00
Closest atoms and distances in Å follow each position.
Fractional positions:
Pt: 0.0000 0.5000 0.1257  5 Be 2.32-2.40
Pt: 0.0000 0.0000 0.5000  4 Be 2.38
Pt: 0.5000 0.0000 0.8743  5 Be 2.32-2.40
Si: 0.5000 0.5000 0.5000  4 Be 2.38
Be: 0.5000 0.5000 0.0000  4 Pt 2.32
Y: 0.0000 0.5000 0.7495  8 Be 2.96-3.19, 6 Pt 3.01-3.18, 2 Si 3.18
Be: 0.0000 0.0000 0.0000  4 Pt 2.32
Y: 0.5000 0.0000 0.2505  8 Be 2.96-3.19, 6 Pt 3.01-3.18, 2 Si 3.18
Be: 0.5000 0.0000 0.6370  2 Si 2.38, 3 Pt 2.38-2.40
Be: 0.0000 0.5000 0.3630  3 Pt 2.38-2.40, 2 Si 2.38

## Properties
SG: P-4m2 (115)
Total energy in eV for the cell shown: -59.23
Formation energy from raw total energies in eV/atom: -0.785
Magnetic moment in μB per formula unit: 0.0

=====

Crystalline Sr4AsPI2 at its relaxed geometry, computed with PBE.

Lattice parameters (Å, degrees): 4.5708 7.9536 8.3458 108.42 90.00 90.00
Closest atoms and distances in Å follow each position.
Fractional positions:
I: 0.5000 0.0000 0.5000  6 Sr 3.60-3.61
I: 0.0000 0.5000 0.5000  6 Sr 3.56
As: 0.0000 0.0000 0.0000  6 Sr 3.09
Sr: 0.5000 0.2375 0.1967  1 P 3.04, 2 As 3.09
Sr: 0.0000 0.7270 0.1945  2 P 3.04, 1 As 3.09
Sr: 0.5000 0.7625 0.8033  1 P 3.04, 2 As 3.09
P: 0.5000 0.5000 0.0000  6 Sr 3.04
Sr: 0.0000 0.2730 0.8055  2 P 3.04, 1 As 3.09

## Properties
SG: P2/m (10)
Total energy in eV for the cell shown: -31.40
Formation energy from raw total energies in eV/atom: -1.440
Magnetic moment in μB per formula unit: 0.0

=====

Crystalline LiTcIr4 at its relaxed geometry, computed with PBE.

Lattice parameters (Å, degrees): 5.1200 5.1200 5.1200 60.00 60.00 60.00
Closest atoms and distances in Å follow each position.
Fractional positions:
Tc: 0.0000 0.0000 0.0000  12 Ir 3.00, 4 Li 3.14
Ir: 0.3755 0.3755 0.3755  6 Ir 2.55-2.57
Ir: 0.3755 0.3755 0.8736  6 Ir 2.55-2.57
Li: 0.7500 0.7500 0.7500  12 Ir 3.00, 4 Tc 3.14
Ir: 0.8736 0.3755 0.3755  6 Ir 2.55-2.57
Ir: 0.3755 0.8736 0.3755  6 Ir 2.55-2.57

## Properties
SG: F-43m (216)
Total energy in eV for the cell shown: -45.69
Magnetic moment in μB per formula unit: 0.0
Energy relative to the elements in meV/atom: 338

=====

Crystalline Cd4AgMo at its relaxed geometry, computed with PBE.

Lattice parameters (Å, degrees): 5.6298 5.6298 5.6298 60.00 60.00 60.00
Closest atoms and distances in Å follow each position.
Fractional positions:
Cd: 0.3751 0.3751 0.8747  6 Cd 2.81-2.82
Cd: 0.3751 0.3751 0.3751  6 Cd 2.81-2.82
Cd: 0.3751 0.8747 0.3751  6 Cd 2.81-2.82
Ag: 0.0000 0.0000 0.0000  12 Cd 3.30, 4 Mo 3.45
Cd: 0.8747 0.3751 0.3751  6 Cd 2.81-2.82
Mo: 0.7500 0.7500 0.7500  12 Cd 3.30, 4 Ag 3.45

## Properties
SG: F-43m (216)
Total energy in eV for the cell shown: -14.08
Magnetic moment in μB per formula unit: 3.5
Energy relative to the elements in meV/atom: 545

=====

Crystalline MgScNiSb2 at its relaxed geometry, computed with PBE.

Lattice parameters (Å, degrees): 4.9919 4.8132 4.9919 90.00 90.00 90.00
Closest atoms and distances in Å follow each position.
Fractional positions:
Sb: 0.0000 0.0000 0.5000  2 Ni 2.50
Ni: 0.0000 0.0000 0.0000  2 Sc 2.41, 4 Sb 2.50
Mg: 0.5000 0.5000 0.5000  8 Sb 3.47, 4 Sc 3.53
Sc: 0.0000 0.5000 0.0000  2 Ni 2.41
Sb: 0.5000 0.0000 0.0000  2 Ni 2.50

## Properties
SG: P4/mmm (123)
Total energy in eV for the cell shown: -22.10
Formation energy from raw total energies in eV/atom: -0.029
Magnetic moment in μB per formula unit: 0.0